No. 1
The following is a DFT calculation (PBE-GGA) of crystalline Tl4BiPb5 at its relaxed geometry.

The value obtained for the calculated total energy is -3.1819 eV per atom. The energy of formation from the pure elements comes out at 0.007 eV/atom. Its density is 11.05 g/cm3. For the energy above the lowest structure with this stoichiometry, the calculation gives 0 meV/atom. The value obtained for the density of states at the Fermi level is 3.57 states/eV/cell.

Cell lengths 3.5729, 3.5729, 24.2772 Å; angles 90.00, 90.00, 90.00 degrees
Atoms (fractional coordinates):
Pb: 0.5000 0.5000 0.5000
Pb: 0.5000 0.5000 0.3008
Tl: 0.0000 0.0000 0.2020
Pb: 0.5000 0.5000 0.1010
Pb: 0.5000 0.5000 0.8990
Tl: 0.0000 0.0000 0.5995
Pb: 0.5000 0.5000 0.6992
Tl: 0.0000 0.0000 0.7980
Bi: 0.0000 0.0000 0.0000
Tl: 0.0000 0.0000 0.4005

---

No. 2
The following is a DFT calculation (PBE-GGA) of crystalline TlBi3Pb2 at its relaxed geometry.

The value obtained for the calculated total energy is -3.5131 eV per atom. The energy of formation from the pure elements comes out at 0.058 eV/atom. Its density is 10.29 g/cm3. For the energy above the lowest structure with this stoichiometry, the calculation gives 0 meV/atom. The value obtained for the density of states at the Fermi level is 7.29 states/eV/cell.

Cell lengths 7.4945, 7.4945, 10.4869 Å; angles 75.74, 124.01, 124.19 degrees
Atoms (fractional coordinates):
Bi: 0.3880 0.1380 0.7500
Tl: 0.8710 0.6210 0.7500
Bi: 0.6120 0.8620 0.2500
Bi: 0.7182 0.4570 0.4180
Tl: 0.1290 0.3790 0.2500
Pb: 0.1998 0.9539 0.4149
Pb: 0.4610 0.7150 0.9149
Pb: 0.5390 0.2850 0.0851
Bi: 0.2818 0.5430 0.5820
Pb: 0.8002 0.0461 0.5851
Bi: 0.9610 0.1998 0.9180
Bi: 0.0390 0.8002 0.0820

---

No. 3
The following is a DFT calculation (PBE-GGA) of crystalline Tl5Bi2Pb12 at its relaxed geometry.

The value obtained for the calculated total energy is -3.3300 eV per atom. The energy of formation from the pure elements comes out at 0.043 eV/atom. Its density is 10.64 g/cm3. The value obtained for the density of states at the Fermi level is 8.49 states/eV/cell.

Cell lengths 6.1088, 10.6491, 10.6491 Å; angles 66.44, 77.39, 77.39 degrees
Atoms (fractional coordinates):
Bi: 0.0000 0.2568 0.7432
Tl: 0.5000 0.0000 0.0000
Tl: 0.8411 0.3125 0.3125
Bi: 0.0000 0.7432 0.2568
Pb: 0.7389 0.5816 0.5816
Pb: 0.6009 0.6462 0.1574
Pb: 0.6009 0.1574 0.6462
Pb: 0.3991 0.8426 0.3538
Pb: 0.9629 0.1024 0.1024
Tl: 0.4110 0.2029 0.2029
Pb: 0.3991 0.3538 0.8426
Pb: 0.8021 0.4529 0.9442
Tl: 0.1589 0.6875 0.6875
Pb: 0.1979 0.0558 0.5471
Pb: 0.0371 0.8976 0.8976
Pb: 0.2611 0.4184 0.4184
Pb: 0.1979 0.5471 0.0558
Pb: 0.8021 0.9442 0.4529
Tl: 0.5890 0.7971 0.7971

---

No. 4
The following is a DFT calculation (PBE-GGA) of crystalline Tl4BiPb5 at its relaxed geometry.

The value obtained for the calculated total energy is -3.1420 eV per atom. The energy of formation from the pure elements comes out at 0.047 eV/atom. Its density is 10.22 g/cm3. For the energy above the lowest structure with this stoichiometry, the calculation gives 40 meV/atom. The value obtained for the density of states at the Fermi level is 7.38 states/eV/cell.

Cell lengths 6.1608, 10.9581, 9.9315 Å; angles 90.00, 90.00, 90.00 degrees
Atoms (fractional coordinates):
Tl: 0.2185 0.8419 0.0000
Tl: 0.7815 0.6581 0.5000
Pb: 0.2659 0.2334 0.6710
Tl: 0.7815 0.3419 0.5000
Bi: 0.7117 0.0000 0.0000
Tl: 0.2185 0.1581 0.0000
Pb: 0.7341 0.2666 0.1710
Pb: 0.5376 0.5000 0.0000
Pb: 0.2659 0.7666 0.3290
Tl: 0.0831 0.5000 0.1793
Tl: 0.0831 0.5000 0.8207
Pb: 0.2659 0.7666 0.6710
Pb: 0.2659 0.2334 0.3290
Bi: 0.2883 0.5000 0.5000
Pb: 0.7341 0.7334 0.1710
Pb: 0.4624 0.0000 0.5000
Pb: 0.7341 0.2666 0.8290
Tl: 0.9169 0.0000 0.3207
Pb: 0.7341 0.7334 0.8290
Tl: 0.9169 0.0000 0.6793

---

No. 5
The following is a DFT calculation (PBE-GGA) of crystalline TlBi2Pb2 at its relaxed geometry.

The value obtained for the calculated total energy is -3.4415 eV per atom. The energy of formation from the pure elements comes out at 0.067 eV/atom. Its density is 10.18 g/cm3. For the energy above the lowest structure with this stoichiometry, the calculation gives 32 meV/atom. The value obtained for the density of states at the Fermi level is 5.62 states/eV/cell.

Cell lengths 9.0969, 9.0969, 4.0873 Å; angles 90.00, 90.00, 90.00 degrees
Atoms (fractional coordinates):
Bi: 0.8510 0.3510 0.5000
Pb: 0.3605 0.8605 0.0000
Bi: 0.1490 0.6490 0.5000
Bi: 0.3510 0.1490 0.5000
Pb: 0.8605 0.6395 0.0000
Pb: 0.1395 0.3605 0.0000
Bi: 0.6490 0.8510 0.5000
Tl: 0.0000 0.0000 0.0000
Tl: 0.5000 0.5000 0.0000
Pb: 0.6395 0.1395 0.0000

---

No. 6
The following is a DFT calculation (PBE-GGA) of crystalline TlBiPb4 at its relaxed geometry.

The value obtained for the calculated total energy is -3.4736 eV per atom. The energy of formation from the pure elements comes out at 0.040 eV/atom. Its density is 10.70 g/cm3. For the energy above the lowest structure with this stoichiometry, the calculation gives 25 meV/atom. The value obtained for the density of states at the Fermi level is 6.23 states/eV/cell.

Cell lengths 5.7925, 11.4146, 6.7847 Å; angles 90.00, 90.00, 120.72 degrees
Atoms (fractional coordinates):
Tl: 0.7403 0.4110 0.2500
Pb: 0.0027 0.2337 0.0022
Tl: 0.2597 0.5890 0.7500
Pb: 0.9973 0.7663 0.9978
Bi: 0.3091 0.0768 0.2500
Pb: 0.9973 0.7663 0.5022
Pb: 0.6031 0.4398 0.7500
Bi: 0.6909 0.9232 0.7500
Pb: 0.3743 0.1054 0.7500
Pb: 0.0027 0.2337 0.4978
Pb: 0.6257 0.8946 0.2500
Pb: 0.3969 0.5602 0.2500

---

No. 7
The following is a DFT calculation (PBE-GGA) of crystalline TlBi3Pb4 at its relaxed geometry.

The value obtained for the calculated total energy is -3.5805 eV per atom. The energy of formation from the pure elements comes out at 0.025 eV/atom. Its density is 10.68 g/cm3. For the energy above the lowest structure with this stoichiometry, the calculation gives 10 meV/atom. The value obtained for the density of states at the Fermi level is 4.24 states/eV/cell.

Cell lengths 5.7966, 5.5582, 10.1403 Å; angles 68.85, 73.39, 58.57 degrees
Atoms (fractional coordinates):
Bi: 0.5000 0.5000 0.5000
Tl: 0.0000 0.0000 0.0000
Bi: 0.2605 0.2546 0.2243
Bi: 0.7395 0.7454 0.7757
Pb: 0.6214 0.6138 0.1434
Pb: 0.3786 0.3862 0.8566
Pb: 0.8675 0.8741 0.3910
Pb: 0.1325 0.1259 0.6090

---

No. 8
The following is a DFT calculation (PBE-GGA) of crystalline Tl2BiPb at its relaxed geometry.

The value obtained for the calculated total energy is -3.0918 eV per atom. The energy of formation from the pure elements comes out at -0.011 eV/atom. Its density is 10.76 g/cm3. For the energy above the lowest structure with this stoichiometry, the calculation gives 3 meV/atom. The value obtained for the density of states at the Fermi level is 1.96 states/eV/cell.

Cell lengths 5.4036, 4.8537, 4.8537 Å; angles 90.00, 90.00, 90.00 degrees
Atoms (fractional coordinates):
Pb: 0.5000 0.0000 0.0000
Bi: 0.5000 0.5000 0.5000
Tl: 0.0000 0.5000 0.0000
Tl: 0.0000 0.0000 0.5000

---

No. 9
The following is a DFT calculation (PBE-GGA) of crystalline Tl4BiPb at its relaxed geometry.

The value obtained for the calculated total energy is -2.8389 eV per atom. The energy of formation from the pure elements comes out at 0.003 eV/atom. Its density is 10.48 g/cm3. For the energy above the lowest structure with this stoichiometry, the calculation gives 0 meV/atom. The value obtained for the density of states at the Fermi level is 5.37 states/eV/cell.

Cell lengths 5.9691, 6.7897, 10.2408 Å; angles 70.64, 91.02, 93.09 degrees
Atoms (fractional coordinates):
Pb: 0.7500 0.2073 0.0854
Bi: 0.7500 0.7056 0.0888
Tl: 0.7448 0.6165 0.7702
Tl: 0.2552 0.3835 0.2298
Tl: 0.7552 0.1133 0.7702
Tl: 0.7444 0.7966 0.4067
Pb: 0.2500 0.7927 0.9146
Tl: 0.7556 0.2967 0.4067
Bi: 0.2500 0.2944 0.9112
Tl: 0.2444 0.7033 0.5933
Tl: 0.2448 0.8867 0.2298
Tl: 0.2556 0.2034 0.5933

---

No. 10
The following is a DFT calculation (PBE-GGA) of crystalline Tl7BiPb4 at its relaxed geometry.

The value obtained for the calculated total energy is -2.9296 eV per atom. The energy of formation from the pure elements comes out at 0.010 eV/atom. Its density is 11.06 g/cm3. The value obtained for the density of states at the Fermi level is 5.34 states/eV/cell.

Cell lengths 5.1263, 5.9000, 13.9656 Å; angles 78.20, 89.99, 115.75 degrees
Atoms (fractional coordinates):
Pb: 0.3305 0.6609 0.9164
Pb: 0.3426 0.6851 0.6684
Tl: 0.0079 0.0158 0.7488
Pb: 0.6574 0.3149 0.3316
Tl: 0.6648 0.3296 0.8350
Tl: 0.3272 0.6545 0.4176
Tl: 0.0000 0.0000 0.0000
Bi: 0.0000 0.0000 0.5000
Tl: 0.6728 0.3455 0.5824
Pb: 0.6695 0.3391 0.0836
Tl: 0.9921 0.9842 0.2512
Tl: 0.3352 0.6704 0.1650

---

No. 11
The following is a DFT calculation (PBE-GGA) of crystalline Tl3BiPb6 at its relaxed geometry.

The value obtained for the calculated total energy is -3.2522 eV per atom. The energy of formation from the pure elements comes out at 0.071 eV/atom. Its density is 10.18 g/cm3. For the energy above the lowest structure with this stoichiometry, the calculation gives 0 meV/atom. The value obtained for the density of states at the Fermi level is 10.23 states/eV/cell.

Cell lengths 5.5123, 10.5864, 11.5455 Å; angles 90.00, 90.00, 90.00 degrees
Atoms (fractional coordinates):
Bi: 0.0000 0.0000 0.0000
Tl: 0.0000 0.7601 0.4501
Tl: 0.0000 0.2399 0.5499
Pb: 0.5000 0.9454 0.1777
Pb: 0.5000 0.2498 0.3328
Tl: 0.5000 0.2601 0.0499
Bi: 0.5000 0.5000 0.5000
Tl: 0.5000 0.7399 0.9501
Pb: 0.0000 0.0639 0.2981
Pb: 0.5000 0.0546 0.8223
Pb: 0.0000 0.5546 0.6778
Pb: 0.0000 0.4454 0.3222
Pb: 0.5000 0.7502 0.6672
Tl: 0.5000 0.0000 0.5000
Tl: 0.0000 0.5000 0.0000
Pb: 0.5000 0.5639 0.2019
Pb: 0.0000 0.9361 0.7019
Pb: 0.5000 0.4361 0.7981
Pb: 0.0000 0.2502 0.8328
Pb: 0.0000 0.7498 0.1672

---

No. 12
The following is a DFT calculation (PBE-GGA) of crystalline Tl4Bi3Pb at its relaxed geometry.

The value obtained for the calculated total energy is -3.0648 eV per atom. The energy of formation from the pure elements comes out at 0.037 eV/atom. Its density is 9.62 g/cm3. For the energy above the lowest structure with this stoichiometry, the calculation gives 41 meV/atom. The value obtained for the density of states at the Fermi level is 3.31 states/eV/cell.

Cell lengths 5.0856, 4.3604, 12.8544 Å; angles 90.00, 90.00, 90.00 degrees
Atoms (fractional coordinates):
Tl: 0.5000 0.0000 0.6505
Tl: 0.0000 0.0000 0.1309
Tl: 0.0000 0.5000 0.8571
Bi: 0.0000 0.0000 0.4113
Tl: 0.5000 0.5000 0.3554
Pb: 0.5000 0.5000 0.0911
Bi: 0.0000 0.5000 0.5847
Bi: 0.5000 0.0000 0.9189

---

> Number 3 is which compound?

Tl5Bi2Pb12

---

Please write out number 3 again, unchanged.
The following is a DFT calculation (PBE-GGA) of crystalline Tl5Bi2Pb12 at its relaxed geometry.

The value obtained for the calculated total energy is -3.3300 eV per atom. The energy of formation from the pure elements comes out at 0.043 eV/atom. Its density is 10.64 g/cm3. The value obtained for the density of states at the Fermi level is 8.49 states/eV/cell.

Cell lengths 6.1088, 10.6491, 10.6491 Å; angles 66.44, 77.39, 77.39 degrees
Atoms (fractional coordinates):
Bi: 0.0000 0.2568 0.7432
Tl: 0.5000 0.0000 0.0000
Tl: 0.8411 0.3125 0.3125
Bi: 0.0000 0.7432 0.2568
Pb: 0.7389 0.5816 0.5816
Pb: 0.6009 0.6462 0.1574
Pb: 0.6009 0.1574 0.6462
Pb: 0.3991 0.8426 0.3538
Pb: 0.9629 0.1024 0.1024
Tl: 0.4110 0.2029 0.2029
Pb: 0.3991 0.3538 0.8426
Pb: 0.8021 0.4529 0.9442
Tl: 0.1589 0.6875 0.6875
Pb: 0.1979 0.0558 0.5471
Pb: 0.0371 0.8976 0.8976
Pb: 0.2611 0.4184 0.4184
Pb: 0.1979 0.5471 0.0558
Pb: 0.8021 0.9442 0.4529
Tl: 0.5890 0.7971 0.7971